CaAg2SbCl | PBEsol | relaxed

a b c (Å): 4.8980 4.8980 5.1110
angles (deg): 90.00 90.00 90.00
Space group P4/mmm (No. 123)
Asymmetric unit:
Ca1 0.0000 0.0000 0.0000
Ag1 0.0000 0.5000 0.5000
Sb1 0.5000 0.5000 0.0000
Cl1 0.0000 0.0000 0.5000

Properties
As for the formation energy from raw total energies: -0.1843 eV per atom. For the density of states at the Fermi level, the calculation gives 0.87 states/eV/f.u. The total energy comes out at -0.1194 Ha/atom. For the total magnetic moment, the calculation gives 0.000 μB/atom.